No. 1
A plane-wave DFT calculation with PBE-GGA was carried out for a relaxed structure of KTeSe3.

Calculated values
- symmetry = Cmc2_1 (36)
- mass density (Mg/m³) = 3.629
- formation energy without anion corrections (eV per atom) = -0.298

Cell: 5.3947 6.1251 11.4983 Å, 90.00 103.58 90.00°
Fractional coordinates of all 10 atoms:
Te 0.9236 0.9901 0.8471
Te 0.0764 0.4901 0.1529
Se 0.0581 0.8966 0.1163
Se 0.9232 0.4545 0.3685
Se 0.0768 0.9545 0.6315
Se 0.5544 0.9539 0.6316
Se 0.4456 0.4539 0.3684
Se 0.9419 0.3966 0.8837
K 0.6624 0.9549 0.3249
K 0.3376 0.4549 0.6751


No. 2
A plane-wave DFT calculation with PBE-GGA was carried out for a relaxed structure of K3TeSe3.

Calculated values
- symmetry = P6_3/m (176)
- mass density (Mg/m³) = 2.796
- formation energy without anion corrections (eV per atom) = -0.759

Cell: 6.7170 9.9186 9.9186 Å, 120.00 90.00 90.00°
Each line ends with the local moment (μB).
Fractional coordinates of all 14 atoms:
K 0.7500 0.9282 0.2927  0.00
K 0.2500 0.0718 0.7073  0.00
K 0.2500 0.6355 0.9282  0.00
K 0.7500 0.3645 0.0718  0.00
K 0.7500 0.7073 0.6355  0.00
K 0.2500 0.2927 0.3645  0.00
Se 0.2500 0.6949 0.6182  0.11
Se 0.2500 0.9233 0.3051  0.11
Se 0.7500 0.0767 0.6949  0.11
Se 0.7500 0.6182 0.9233  0.11
Se 0.2500 0.3818 0.0767  0.11
Se 0.7500 0.3051 0.3818  0.11
Te 0.7500 0.3333 0.6667  0.20
Te 0.2500 0.6667 0.3333  0.20


No. 3
A plane-wave DFT calculation with PBE-GGA was carried out for a relaxed structure of KTeSe2.

Calculated values
- symmetry = Cmm2 (35)
- mass density (Mg/m³) = 4.477
- formation energy without anion corrections (eV per atom) = 0.009

Cell: 2.9917 2.9917 13.4518 Å, 90.00 90.00 90.13°
Fractional coordinates of all 4 atoms:
K 0.5000 0.5000 0.7595
Se 0.5000 0.5000 0.2540
Se 0.0000 0.0000 0.9432
Te 0.0000 0.0000 0.5434


No. 4
A plane-wave DFT calculation with PBE-GGA was carried out for a relaxed structure of KTeSe2.

Calculated values
- symmetry = P1 (1)
- mass density (Mg/m³) = 3.486
- formation energy without anion corrections (eV per atom) = -0.519

Cell: 5.6106 6.0800 9.4919 Å, 102.00 98.73 96.82°
Fractional coordinates of all 8 atoms:
Se 0.2685 0.7050 0.3842
Se 0.7902 0.2308 0.3562
Se 0.2950 0.8826 0.8989
Se 0.6212 0.1405 0.8606
K 0.6513 0.6112 0.1445
K 0.8370 0.7902 0.5900
Te 0.3397 0.1211 0.3742
Te 0.0192 0.0935 0.0713


No. 5
A plane-wave DFT calculation with PBE-GGA was carried out for a relaxed structure of K2TeSe3.

Calculated values
- symmetry = P2_1/c (14)
- mass density (Mg/m³) = 3.223
- formation energy without anion corrections (eV per atom) = -0.721

Cell: 6.7286 10.4838 13.4111 Å, 74.67 90.00 90.00°
Fractional coordinates of all 24 atoms:
K 0.7517 0.8451 0.0431
K 0.7483 0.8451 0.5431
K 0.2483 0.1549 0.9569
K 0.2517 0.1549 0.4569
K 0.7475 0.5052 0.3748
K 0.7525 0.5052 0.8748
K 0.2475 0.4948 0.1252
K 0.2525 0.4948 0.6252
Se 0.7560 0.4616 0.6335
Se 0.2536 0.8216 0.0151
Se 0.6593 0.8336 0.7977
Se 0.2464 0.8216 0.5151
Se 0.1593 0.1664 0.7023
Se 0.2440 0.5384 0.3665
Se 0.3407 0.1664 0.2023
Se 0.7440 0.4616 0.1335
Se 0.7536 0.1784 0.4849
Se 0.2560 0.5384 0.8665
Se 0.7464 0.1784 0.9849
Se 0.8407 0.8336 0.2977
Te 0.7960 0.2132 0.6637
Te 0.7040 0.2132 0.1637
Te 0.2040 0.7868 0.3363
Te 0.2960 0.7868 0.8363


No. 6
A plane-wave DFT calculation with PBE-GGA was carried out for a relaxed structure of K2TeSe3.

Calculated values
- symmetry = P-3m1 (164)
- mass density (Mg/m³) = 2.776
- formation energy without anion corrections (eV per atom) = -0.622

Cell: 7.6468 7.6468 10.4595 Å, 90.00 90.00 120.00°
Fractional coordinates of all 12 atoms:
Se 0.3156 0.1578 0.7494
Se 0.1578 0.3156 0.2506
Se 0.6844 0.8422 0.2506
Se 0.1578 0.8422 0.2506
Se 0.8422 0.6844 0.7494
Se 0.8422 0.1578 0.7494
Te 0.6667 0.3333 0.8392
Te 0.3333 0.6667 0.1608
K 0.6667 0.3333 0.2702
K 0.0000 0.0000 0.5000
K 0.0000 0.0000 0.0000
K 0.3333 0.6667 0.7298


No. 7
A plane-wave DFT calculation with PBE-GGA was carried out for a relaxed structure of K2TeSe3.

Calculated values
- symmetry = C2/c (15)
- mass density (Mg/m³) = 4.110
- formation energy without anion corrections (eV per atom) = -0.559

Cell: 5.9533 9.3030 6.8176 Å, 90.04 90.00 108.66°
Fractional coordinates of all 12 atoms:
Se 0.1601 0.3191 0.7503
Se 0.5455 0.0000 0.7500
Se 0.8399 0.6809 0.2497
Se 0.8410 0.6809 0.7497
Se 0.4545 0.0000 0.2500
Se 0.1590 0.3191 0.2503
K 0.6656 0.3314 0.5006
K 0.6658 0.3314 0.0006
K 0.3342 0.6686 0.9994
K 0.3344 0.6686 0.4994
Te 0.0287 0.0000 0.2500
Te 0.9713 0.0000 0.7500


No. 8
A plane-wave DFT calculation with PBE-GGA was carried out for a relaxed structure of K3Te2Se.

Calculated values
- symmetry = P2_1/c (14)
- mass density (Mg/m³) = 3.030
- formation energy without anion corrections (eV per atom) = -0.798

Cell: 8.9900 10.7478 11.7401 Å, 90.00 119.25 90.00°
Fractional coordinates of all 24 atoms:
Se 0.1074 0.7492 0.7981
Se 0.6074 0.7508 0.2981
Se 0.8926 0.2508 0.2019
Se 0.3926 0.2492 0.7019
K 0.7002 0.4348 0.9316
K 0.9291 0.7504 0.1883
K 0.2009 0.4344 0.4325
K 0.2002 0.0652 0.4316
K 0.5709 0.2504 0.3117
K 0.7998 0.9348 0.5684
K 0.0709 0.2496 0.8117
K 0.2998 0.5652 0.0684
K 0.4291 0.7496 0.6883
K 0.7009 0.0656 0.9325
K 0.2991 0.9344 0.0675
K 0.7991 0.5656 0.5675
Te 0.6346 0.2511 0.6248
Te 0.2504 0.9999 0.7497
Te 0.7504 0.5001 0.2497
Te 0.7496 0.0001 0.2503
Te 0.1346 0.2489 0.1248
Te 0.2496 0.4999 0.7503
Te 0.3654 0.7489 0.3752
Te 0.8654 0.7511 0.8752


No. 9
A plane-wave DFT calculation with PBE-GGA was carried out for a relaxed structure of KTeSe.

Calculated values
- symmetry = F-43m (216)
- mass density (Mg/m³) = 3.850
- formation energy without anion corrections (eV per atom) = -0.224

Cell: 5.3116 5.3116 5.3116 Å, 60.00 60.00 60.00°
Fractional coordinates of all 3 atoms:
K 0.5000 0.5000 0.5000
Se 0.7500 0.7500 0.7500
Te 0.0000 0.0000 0.0000


No. 10
A plane-wave DFT calculation with PBE-GGA was carried out for a relaxed structure of K3TeSe3.

Calculated values
- symmetry = R3m (160)
- mass density (Mg/m³) = 3.284
- formation energy without anion corrections (eV per atom) = -0.755

Cell: 6.7424 6.8385 6.8385 Å, 109.75 109.19 109.19°
Fractional coordinates of all 7 atoms:
K 0.9860 0.0000 0.4479
K 0.5381 0.5521 0.5521
K 0.9860 0.4479 0.0000
Te 0.4567 0.0000 0.0000
Se 0.4678 0.0000 0.3951
Se 0.0726 0.6049 0.6049
Se 0.4678 0.3951 0.0000


No. 11
A plane-wave DFT calculation with PBE-GGA was carried out for a relaxed structure of KTeSe2.

Calculated values
- symmetry = Amm2 (38)
- mass density (Mg/m³) = 3.992
- formation energy without anion corrections (eV per atom) = -0.521

Cell: 3.9723 7.8524 8.6577 Å, 90.00 90.00 90.00°
Fractional coordinates of all 8 atoms:
Se 0.5000 0.2456 0.1971
Se 0.5000 0.2544 0.6971
Se 0.5000 0.7456 0.6971
Se 0.5000 0.7544 0.1971
K 0.0000 0.5000 0.4483
K 0.0000 0.0000 0.9483
Te 0.5000 0.5000 0.0249
Te 0.5000 0.0000 0.5249


No. 12
A plane-wave DFT calculation with PBE-GGA was carried out for a relaxed structure of KTeSe2.

Calculated values
- symmetry = P2/m (10)
- mass density (Mg/m³) = 4.084
- formation energy without anion corrections (eV per atom) = -0.480

Cell: 3.9208 4.4631 7.5433 Å, 90.17 90.00 90.00°
Fractional coordinates of all 4 atoms:
Te 0.5000 0.2500 0.2500
Se 0.0000 0.2484 0.5098
Se 0.0000 0.2516 0.9902
K 0.5000 0.7500 0.7500


- Look up the mass density of the ninth one.
  3.850 Mg/m³


- What is the mass density in the seventh record?
  4.110 Mg/m³